Entry 1:
Os2BrCl | PBE | optimized geometry

Output
- energy above the lowest structure with this stoichiometry (eV/f.u.) = 4.559
- ρ (g/cm3) = 12.494
- density of states at the Fermi level (states/eV/f.u.) = 3.61
- E_form (uncorrected) (meV per atom) = 1397

abc: 3.0060 3.0060 8.7518
angles: 90.00 90.00 123.56
Element x y z (fractional)
Os 0.0000 0.0000 0.2431
Os 0.0000 0.0000 0.7569
Br 0.5000 0.5000 0.5000
Cl 0.5000 0.5000 0.0000



Entry 2:
InPt2Br | PBE | optimized geometry

Output
- energy above the lowest structure with this stoichiometry (eV/f.u.) = 0.000
- ρ (g/cm3) = 11.102
- density of states at the Fermi level (states/eV/f.u.) = 1.91
- E_form (uncorrected) (meV per atom) = -133

abc: 7.3836 7.3836 3.4780
angles: 91.40 91.40 27.48
Element x y z (fractional)
In 0.0000 0.0000 0.0000
Pt 0.4087 0.4087 0.4967
Pt 0.5960 0.5960 0.5019
Br 0.2378 0.2378 0.5938



Entry 3:
TbPrSbSe | PBE | optimized geometry

Output
- ρ (g/cm3) = 7.121
- density of states at the Fermi level (states/eV/f.u.) = 1.41
- E_form (uncorrected) (meV per atom) = -1446

abc: 4.3713 4.3713 6.1086
angles: 90.00 90.00 90.00
Element x y z (fractional)
Tb 0.0000 0.0000 0.0000
Pr 0.5000 0.5000 0.5000
Sb 0.0000 0.0000 0.5000
Se 0.5000 0.5000 0.0000



Entry 4:
TeAs2Ru2 | PBE | optimized geometry

Output
- energy above the lowest structure with this stoichiometry (eV/f.u.) = 0.000
- ρ (g/cm3) = 9.182
- density of states at the Fermi level (states/eV/f.u.) = 3.69
- E_form (uncorrected) (meV per atom) = 68

abc: 7.5596 7.5596 3.0354
angles: 90.00 90.00 90.00
Element x y z (fractional)
Te 0.0000 0.0000 0.0000
Te 0.5000 0.5000 0.0000
As 0.1387 0.3613 0.5000
As 0.3613 0.8613 0.5000
As 0.6387 0.1387 0.5000
As 0.8613 0.6387 0.5000
Ru 0.1382 0.6382 0.0000
Ru 0.3618 0.1382 0.0000
Ru 0.6382 0.8618 0.0000
Ru 0.8618 0.3618 0.0000



Entry 5:
Rb2SnCl6 | PBE | optimized geometry

Output
- ρ (g/cm3) = 2.955
- density of states at the Fermi level (states/eV/f.u.) = 0.00
- E_form (uncorrected) (meV per atom) = -1482

abc: 7.3631 7.3631 7.3631
angles: 60.00 60.00 60.00
Element x y z (fractional)
Rb 0.2500 0.2500 0.2500
Rb 0.7500 0.7500 0.7500
Sn 0.0000 0.0000 0.0000
Cl 0.2375 0.2375 0.7625
Cl 0.2375 0.7625 0.2375
Cl 0.2375 0.7625 0.7625
Cl 0.7625 0.2375 0.2375
Cl 0.7625 0.2375 0.7625
Cl 0.7625 0.7625 0.2375



Entry 6:
RbPb3C | PBE | optimized geometry

Output
- energy above the lowest structure with this stoichiometry (eV/f.u.) = 7.861
- ρ (g/cm3) = 4.724
- energy of formation (meV per atom) = 2443
- density of states at the Fermi level (states/eV/f.u.) = 6.48

abc: 6.3228 6.3228 6.3228
angles: 90.00 90.00 90.00
Element x y z (fractional)
Rb 0.0000 0.0000 0.0000
Pb 0.0000 0.0000 0.5000
Pb 0.0000 0.5000 0.0000
Pb 0.5000 0.0000 0.0000
C 0.5000 0.5000 0.5000



Entry 7:
HoEr3Sc2Se6 | PBE | optimized geometry

Output
- ρ (g/cm3) = 7.592
- density of states at the Fermi level (states/eV/f.u.) = 6.14
- E_form (uncorrected) (meV per atom) = -1661

abc: 6.9106 6.9106 6.9195
angles: 99.55 99.55 120.26
Element x y z (fractional)
Ho 0.0000 0.0000 0.0000
Er 0.1618 0.8382 0.5000
Er 0.5000 0.5000 0.5000
Er 0.8382 0.1618 0.5000
Sc 0.3338 0.6662 0.0000
Sc 0.6662 0.3338 0.0000
Se 0.0813 0.4231 0.2443
Se 0.2619 0.2619 0.7602
Se 0.4231 0.0813 0.2443
Se 0.5769 0.9187 0.7557
Se 0.7381 0.7381 0.2398
Se 0.9187 0.5769 0.7557



Entry 8:
LaTh2IrN4 | PBE | optimized geometry

Output
- ρ (g/cm3) = 10.827
- density of states at the Fermi level (states/eV/f.u.) = 3.55
- E_form (uncorrected) (meV per atom) = -1086

abc: 6.3811 6.3811 12.1649
angles: 90.00 90.00 148.19
Element x y z (fractional)
La 0.1072 0.8928 0.7500
La 0.8928 0.1072 0.2500
Th 0.3694 0.6306 0.5543
Th 0.3694 0.6306 0.9457
Th 0.6306 0.3694 0.0543
Th 0.6306 0.3694 0.4457
Ir 0.1543 0.8457 0.2500
Ir 0.8457 0.1543 0.7500
N 0.0000 0.0000 0.0000
N 0.0000 0.0000 0.5000
N 0.2755 0.7245 0.1209
N 0.2755 0.7245 0.3791
N 0.4510 0.5490 0.7500
N 0.5490 0.4510 0.2500
N 0.7245 0.2755 0.6209
N 0.7245 0.2755 0.8791



Entry 9:
RbAlH8Rh2 | PBE | optimized geometry

Output
- ρ (g/cm3) = 4.190
- total energy (eV per formula unit) = -47.5
- density of states at the Fermi level (states/eV/f.u.) = 0.66

abc: 7.4659 7.4659 7.4659
angles: 36.11 36.11 36.11
Element x y z (fractional)
Rb 0.0000 0.0000 0.0000
Al 0.5000 0.5000 0.5000
H 0.1225 0.4353 0.7809
H 0.2191 0.8775 0.5647
H 0.2759 0.2759 0.2759
H 0.4353 0.7809 0.1225
H 0.5647 0.2191 0.8775
H 0.7241 0.7241 0.7241
H 0.7809 0.1225 0.4353
H 0.8775 0.5647 0.2191
Rh 0.1994 0.1994 0.1994
Rh 0.8006 0.8006 0.8006



Entry 10:
Nd2Ti2AlRh5 | PBE | optimized geometry

Output
- ρ (g/cm3) = 8.671
- energy of formation (meV per atom) = -606
- density of states at the Fermi level (states/eV/f.u.) = 6.03

abc: 10.6906 10.6906 3.1024
angles: 90.00 90.00 90.00
Element x y z (fractional)
Nd 0.1753 0.3247 0.0000
Nd 0.3247 0.8247 0.0000
Nd 0.6753 0.1753 0.0000
Nd 0.8247 0.6753 0.0000
Ti 0.1344 0.6344 0.0000
Ti 0.3656 0.1344 0.0000
Ti 0.6344 0.8656 0.0000
Ti 0.8656 0.3656 0.0000
Al 0.0000 0.0000 0.0000
Al 0.5000 0.5000 0.0000
Rh 0.0000 0.5000 0.5000
Rh 0.0510 0.8065 0.5000
Rh 0.1935 0.0510 0.5000
Rh 0.3065 0.5510 0.5000
Rh 0.4490 0.3065 0.5000
Rh 0.5000 0.0000 0.5000
Rh 0.5510 0.6935 0.5000
Rh 0.6935 0.4490 0.5000
Rh 0.8065 0.9490 0.5000
Rh 0.9490 0.1935 0.5000



Entry 11:
CaTlCo2 | PBE | optimized geometry

Output
- ρ (g/cm3) = 7.857
- energy of formation (meV per atom) = 732
- density of states at the Fermi level (states/eV/f.u.) = 4.67

abc: 8.6723 8.6723 8.6723
angles: 21.47 21.47 21.47
Element x y z (fractional)
Ca 0.0000 0.0000 0.0000
Tl 0.5000 0.5000 0.5000
Co 0.2446 0.2446 0.2446
Co 0.7554 0.7554 0.7554



Entry 12:
LaSm3Ga | PBE | optimized geometry

Output
- ρ (g/cm3) = 7.168
- energy of formation (meV per atom) = -176
- density of states at the Fermi level (states/eV/f.u.) = 5.95

abc: 8.6015 6.1311 11.7845
angles: 90.00 100.38 90.00
Element x y z (fractional)
La 0.1843 0.0096 0.4750
La 0.1843 0.4904 0.9750
La 0.8157 0.5096 0.0250
La 0.8157 0.9904 0.5250
Sm 0.1466 0.0363 0.7726
Sm 0.1466 0.4637 0.2726
Sm 0.1957 0.5138 0.5915
Sm 0.1957 0.9862 0.0915
Sm 0.4749 0.6542 0.8312
Sm 0.4749 0.8458 0.3312
Sm 0.5251 0.1542 0.6688
Sm 0.5251 0.3458 0.1688
Sm 0.8043 0.0138 0.9085
Sm 0.8043 0.4862 0.4085
Sm 0.8534 0.5363 0.7274
Sm 0.8534 0.9637 0.2274
Ga 0.4631 0.1659 0.9228
Ga 0.4631 0.3341 0.4228
Ga 0.5369 0.6659 0.5772
Ga 0.5369 0.8341 0.0772



Entry 13:
Dy2In5Br12 | PBE | optimized geometry

Output
- ρ (g/cm3) = 4.871
- density of states at the Fermi level (states/eV/f.u.) = 6.12
- E_form (uncorrected) (meV per atom) = -1120

abc: 9.8599 9.8599 7.6061
angles: 104.56 104.56 63.73
Element x y z (fractional)
Dy 0.2498 0.7502 0.0000
Dy 0.7502 0.2498 0.0000
In 0.0000 0.0000 0.5000
In 0.2531 0.2531 0.0048
In 0.3505 0.3505 0.4854
In 0.6495 0.6495 0.5146
In 0.7469 0.7469 0.9952
Br 0.0823 0.0823 0.1982
Br 0.0945 0.7107 0.2509
Br 0.1413 0.5264 0.7747
Br 0.2893 0.9055 0.7491
Br 0.4736 0.8587 0.2253
Br 0.4771 0.4771 0.2018
Br 0.5229 0.5229 0.7982
Br 0.5264 0.1413 0.7747
Br 0.7107 0.0945 0.2509
Br 0.8587 0.4736 0.2253
Br 0.9055 0.2893 0.7491
Br 0.9177 0.9177 0.8018



Entry 14:
CaMg2CdHg4 | PBE | optimized geometry

Output
- ρ (g/cm3) = 8.637
- energy of formation (meV per atom) = -253
- density of states at the Fermi level (states/eV/f.u.) = 3.06

abc: 9.9260 9.9260 9.9260
angles: 28.20 28.20 28.20
Element x y z (fractional)
Ca 0.0000 0.0000 0.0000
Mg 0.2399 0.2399 0.2399
Mg 0.7601 0.7601 0.7601
Cd 0.5000 0.5000 0.5000
Hg 0.1212 0.1212 0.1212
Hg 0.3864 0.3864 0.3864
Hg 0.6136 0.6136 0.6136
Hg 0.8788 0.8788 0.8788



Entry 15:
HfBTeAu2 | PBE | optimized geometry

Output
- ρ (g/cm3) = 7.747
- density of states at the Fermi level (states/eV/f.u.) = 4.86
- E_form (uncorrected) (meV per atom) = 1222

abc: 5.2714 5.2714 5.4831
angles: 90.00 90.00 90.00
Element x y z (fractional)
Hf 0.0000 0.0000 0.0000
B 0.5000 0.5000 0.5000
Te 0.0000 0.0000 0.5000
Au 0.0000 0.5000 0.0000
Au 0.5000 0.0000 0.0000



Entry 16:
Ti3TlCu | PBE | optimized geometry

Output
- energy above the lowest structure with this stoichiometry (eV/f.u.) = 0.000
- ρ (g/cm3) = 6.849
- energy of formation (meV per atom) = 454
- density of states at the Fermi level (states/eV/f.u.) = 4.92

abc: 4.6380 4.6380 4.6380
angles: 90.00 90.00 90.00
Element x y z (fractional)
Ti 0.0000 0.0000 0.5000
Ti 0.0000 0.5000 0.0000
Ti 0.5000 0.0000 0.0000
Tl 0.5000 0.5000 0.5000
Cu 0.0000 0.0000 0.0000



Entry 17:
CdAgSbPd | PBE | optimized geometry

Output
- ρ (g/cm3) = 9.425
- density of states at the Fermi level (states/eV/f.u.) = 1.96
- E_form (uncorrected) (meV per atom) = -87

abc: 4.8166 4.8166 4.8166
angles: 60.00 60.00 60.00
Element x y z (fractional)
Cd 0.0000 0.0000 0.0000
Ag 0.2500 0.2500 0.2500
Sb 0.5000 0.5000 0.5000
Pd 0.7500 0.7500 0.7500



Entry 18:
BaReAg2 | PBE | optimized geometry

Output
- energy above the lowest structure with this stoichiometry (eV/f.u.) = 0.899
- ρ (g/cm3) = 9.683
- energy of formation (meV per atom) = 1023
- density of states at the Fermi level (states/eV/f.u.) = 4.17

abc: 4.6553 4.6553 4.2672
angles: 90.00 90.00 90.00
Element x y z (fractional)
Ba 0.0000 0.0000 0.0000
Re 0.5000 0.5000 0.0000
Ag 0.0000 0.5000 0.5000
Ag 0.5000 0.0000 0.5000



Entry 19:
LaMgAl2 | PBE | optimized geometry

Output
- ρ (g/cm3) = 3.891
- energy of formation (meV per atom) = -202
- density of states at the Fermi level (states/eV/f.u.) = 2.20

abc: 3.1662 4.1184 7.1081
angles: 90.00 90.16 90.00
Element x y z (fractional)
La 0.0000 0.0000 0.0000
Mg 0.0000 0.0000 0.5000
Al 0.5003 0.5000 0.3022
Al 0.4997 0.5000 0.6978



Entry 20:
CeNdZr2 | PBE | optimized geometry

Output
- energy above the lowest structure with this stoichiometry (eV/f.u.) = 0.000
- ρ (g/cm3) = 7.114
- energy of formation (meV per atom) = 181
- density of states at the Fermi level (states/eV/f.u.) = 6.23

abc: 3.9251 3.9251 7.0722
angles: 90.00 90.00 90.00
Element x y z (fractional)
Ce 0.0000 0.0000 0.0000
Nd 0.0000 0.0000 0.5000
Zr 0.5000 0.5000 0.2101
Zr 0.5000 0.5000 0.7899